MnFeAs2 | PBE | optimized geometry

```
data_MnFeAs2
_cell_length_a 2.8688
_cell_length_b 2.8688
_cell_length_c 28.6249
_cell_angle_alpha 90.00
_cell_angle_beta 90.00
_cell_angle_gamma 120.00
_symmetry_space_group_name_H-M 'R 3 m'
_symmetry_Int_Tables_number 160
_symmetry_space_group_name_Hall 'R 3 -2"'
loop_
_atom_site_label
_atom_site_fract_x
_atom_site_fract_y
_atom_site_fract_z
Mn1 0.0000 0.0000 0.0000
Fe1 0.0000 0.0000 0.7318
As1 0.0000 0.0000 0.2674
As2 0.0000 0.0000 0.4614
```

Properties
- Fermi-level density of states: 2.08 states/eV/f.u.
- Magnetic moment: 11.16 μB/cell
- ΔE_f: 0.135 eV per atom